[1]
Compound: AgAu
Source: Alexandria
Functional: PBE
Structure: optimized geometry

Geometry as CIF:
```
data_AgAu
_chemical_formula_sum 'Ag6 Au6'
_symmetry_space_group_name_H-M 'P 1'
_symmetry_Int_Tables_number 1
_cell_length_a 2.876
_cell_length_b 11.377
_cell_length_c 7.452
_cell_angle_alpha 90.00
_cell_angle_beta 90.00
_cell_angle_gamma 90.00
loop_
_symmetry_equiv_pos_as_xyz
'x,y,z'
loop_
_atom_site_label
_atom_site_type_symbol
_atom_site_fract_x
_atom_site_fract_y
_atom_site_fract_z
Au1 Au 0.000 0.750 0.837
Au2 Au 0.000 0.250 0.337
Ag1 Ag 0.500 0.381 0.084
Ag2 Ag 0.000 0.500 0.773
Ag3 Ag 0.500 0.119 0.584
Au3 Au 0.000 0.500 0.388
Au4 Au 0.000 0.750 0.337
Au5 Au 0.000 0.250 0.837
Ag4 Ag 0.000 0.000 0.273
Au6 Au 0.000 0.000 0.888
Ag5 Ag 0.500 0.881 0.584
Ag6 Ag 0.500 0.619 0.084
```

Calculated values
Formation enthalpy at 0 K ... 0.136 eV per atom
Space-group type ... Amm2 (38)


[2]
Compound: Rb2PbAuCl6
Source: Alexandria
Functional: PBE
Structure: optimized geometry

Geometry as CIF:
```
data_Rb2PbAuCl6
_chemical_formula_sum 'Rb2 Pb1 Au1 Cl6'
_symmetry_space_group_name_H-M 'P 1'
_symmetry_Int_Tables_number 1
_cell_length_a 7.549
_cell_length_b 7.549
_cell_length_c 7.692
_cell_angle_alpha 60.61
_cell_angle_beta 60.61
_cell_angle_gamma 90.00
loop_
_symmetry_equiv_pos_as_xyz
'x,y,z'
loop_
_atom_site_label
_atom_site_type_symbol
_atom_site_fract_x
_atom_site_fract_y
_atom_site_fract_z
Pb1 Pb 0.000 0.000 0.000
Cl1 Cl 0.740 0.260 0.000
Cl2 Cl 0.750 0.750 0.500
Cl3 Cl 0.740 0.740 0.000
Rb1 Rb 0.250 0.750 0.500
Rb2 Rb 0.750 0.250 0.500
Cl4 Cl 0.260 0.740 0.000
Cl5 Cl 0.260 0.260 0.000
Cl6 Cl 0.250 0.250 0.500
Au1 Au 0.500 0.500 0.000
```

Calculated values
Formation energy (no corrections) ... -1177 meV/atom
Space-group type ... I4/mmm (139)


[3]
Compound: Mn2ZnPPd
Source: Alexandria
Functional: PBE
Structure: optimized geometry

Geometry as CIF:
```
data_Mn2ZnPPd
_chemical_formula_sum 'Mn2 Zn1 P1 Pd1'
_symmetry_space_group_name_H-M 'P 1'
_symmetry_Int_Tables_number 1
_cell_length_a 4.820
_cell_length_b 4.639
_cell_length_c 4.820
_cell_angle_alpha 90.00
_cell_angle_beta 90.00
_cell_angle_gamma 90.00
loop_
_symmetry_equiv_pos_as_xyz
'x,y,z'
loop_
_atom_site_label
_atom_site_type_symbol
_atom_site_fract_x
_atom_site_fract_y
_atom_site_fract_z
Mn1 Mn 0.500 0.000 0.000
Pd1 Pd 0.000 0.000 0.000
P1 P 0.500 0.500 0.500
Zn1 Zn 0.000 0.500 0.000
Mn2 Mn 0.000 0.000 0.500
```

Calculated values
Formation enthalpy at 0 K ... 0.796 eV per atom
Space-group type ... P4/mmm (123)


[4]
Compound: LaTb2Ho2
Source: Alexandria
Functional: PBE
Structure: optimized geometry

Geometry as CIF:
```
data_LaTb2Ho2
_chemical_formula_sum 'La1 Tb2 Ho2'
_symmetry_space_group_name_H-M 'P 1'
_symmetry_Int_Tables_number 1
_cell_length_a 5.970
_cell_length_b 5.971
_cell_length_c 6.424
_cell_angle_alpha 117.69
_cell_angle_beta 117.69
_cell_angle_gamma 90.00
loop_
_symmetry_equiv_pos_as_xyz
'x,y,z'
loop_
_atom_site_label
_atom_site_type_symbol
_atom_site_fract_x
_atom_site_fract_y
_atom_site_fract_z
Ho1 Ho 0.250 0.750 0.501
Ho2 Ho 0.750 0.250 0.499
Tb1 Tb 0.647 0.647 0.293
Tb2 Tb 0.353 0.353 0.707
La1 La 0.000 0.000 0.000
```

Calculated values
Formation enthalpy at 0 K ... 0.491 eV per atom
Space-group type ... I4/mmm (139)


[5]
Compound: TeIr2Se
Source: Alexandria
Functional: PBE
Structure: optimized geometry

Geometry as CIF:
```
data_TeIr2Se
_chemical_formula_sum 'Te1 Ir2 Se1'
_symmetry_space_group_name_H-M 'P 1'
_symmetry_Int_Tables_number 1
_cell_length_a 5.748
_cell_length_b 5.748
_cell_length_c 5.748
_cell_angle_alpha 149.81
_cell_angle_beta 130.36
_cell_angle_gamma 59.21
loop_
_symmetry_equiv_pos_as_xyz
'x,y,z'
loop_
_atom_site_label
_atom_site_type_symbol
_atom_site_fract_x
_atom_site_fract_y
_atom_site_fract_z
Se1 Se 0.473 0.473 0.000
Ir1 Ir 0.247 0.747 0.500
Te1 Te 0.772 0.272 0.500
Ir2 Ir 0.009 0.009 0.000
```

Calculated values
Formation energy (no corrections) ... 513 meV/atom
Space-group type ... Imm2 (44)


[6]
Compound: Er2VWN5
Source: Alexandria
Functional: PBE
Structure: optimized geometry

Geometry as CIF:
```
data_Er2VWN5
_chemical_formula_sum 'Er4 V2 W2 N10'
_symmetry_space_group_name_H-M 'P 1'
_symmetry_Int_Tables_number 1
_cell_length_a 3.203
_cell_length_b 6.625
_cell_length_c 10.089
_cell_angle_alpha 90.00
_cell_angle_beta 90.00
_cell_angle_gamma 103.99
loop_
_symmetry_equiv_pos_as_xyz
'x,y,z'
loop_
_atom_site_label
_atom_site_type_symbol
_atom_site_fract_x
_atom_site_fract_y
_atom_site_fract_z
N1 N 0.281 0.561 0.649
V1 V 0.473 0.946 0.461
Er1 Er 0.105 0.210 0.693
N2 N 0.490 0.980 0.785
W1 W 0.781 0.563 0.513
N3 N 0.719 0.439 0.149
Er2 Er 0.856 0.712 0.793
Er3 Er 0.895 0.790 0.193
N4 N 0.630 0.261 0.501
N5 N 0.682 0.365 0.877
N6 N 0.370 0.739 0.001
N7 N 0.510 0.020 0.285
W2 W 0.219 0.437 0.013
N8 N 0.049 0.099 0.052
Er4 Er 0.144 0.288 0.293
N9 N 0.951 0.901 0.552
N10 N 0.318 0.635 0.377
V2 V 0.527 0.054 0.961
```

Calculated values
Formation energy (no corrections) ... -1128 meV/atom
Space-group type ... Cmc2_1 (36)


[7]
Compound: SrTc2Ir
Source: Alexandria
Functional: PBE
Structure: optimized geometry

Geometry as CIF:
```
data_SrTc2Ir
_chemical_formula_sum 'Sr1 Tc2 Ir1'
_symmetry_space_group_name_H-M 'P 1'
_symmetry_Int_Tables_number 1
_cell_length_a 3.081
_cell_length_b 3.081
_cell_length_c 7.955
_cell_angle_alpha 90.00
_cell_angle_beta 90.00
_cell_angle_gamma 90.00
loop_
_symmetry_equiv_pos_as_xyz
'x,y,z'
loop_
_atom_site_label
_atom_site_type_symbol
_atom_site_fract_x
_atom_site_fract_y
_atom_site_fract_z
Ir1 Ir 0.000 0.000 0.451
Sr1 Sr 0.500 0.500 0.741
Tc1 Tc 0.500 0.500 0.237
Tc2 Tc 0.000 0.000 0.072
```

Calculated values
Formation enthalpy at 0 K ... 0.380 eV per atom
Space-group type ... P4mm (99)


[8]
Compound: La2SiS
Source: Alexandria
Functional: PBE
Structure: optimized geometry

Geometry as CIF:
```
data_La2SiS
_chemical_formula_sum 'La4 Si2 S2'
_symmetry_space_group_name_H-M 'P 1'
_symmetry_Int_Tables_number 1
_cell_length_a 11.927
_cell_length_b 11.927
_cell_length_c 4.065
_cell_angle_alpha 90.00
_cell_angle_beta 90.00
_cell_angle_gamma 159.00
loop_
_symmetry_equiv_pos_as_xyz
'x,y,z'
loop_
_atom_site_label
_atom_site_type_symbol
_atom_site_fract_x
_atom_site_fract_y
_atom_site_fract_z
La1 La 0.688 0.312 0.250
Si1 Si 0.533 0.467 0.250
La2 La 0.932 0.068 0.250
La3 La 0.312 0.688 0.750
S1 S 0.190 0.810 0.750
La4 La 0.068 0.932 0.750
S2 S 0.810 0.190 0.250
Si2 Si 0.467 0.533 0.750
```

Calculated values
Formation energy (no corrections) ... -1439 meV/atom
Space-group type ... Cmcm (63)


Values for theoretical density, Mg/m³, ordered as above
12.46 4.14 4.82 7.57 13.59 10.22 10.47 5.42
Values for N(E_F), states/eV per cell, ordered as above
2.833 2.252 4.042 8.060 3.076 7.367 4.521 4.084